The following is a PBE with a Hubbard U calculation of RbNa2CrF6 after structural relaxation, from Alexandria via LeMat-Bulk.

abc: 6.3824 6.3824 6.3824
angles: 60.00 60.00 60.00
Fractional positions:
1 Rb 0.0000 0.0000 0.0000
2 Na 0.2500 0.2500 0.2500
3 Na 0.7500 0.7500 0.7500
4 Cr 0.5000 0.5000 0.5000
5 F 0.2853 0.2853 0.7147
6 F 0.2853 0.7147 0.2853
7 F 0.2853 0.7147 0.7147
8 F 0.7147 0.2853 0.2853
9 F 0.7147 0.2853 0.7147
10 F 0.7147 0.7147 0.2853

energy above the most stable polymorph in this dataset	184	meV per atom